# LiScCuPt

Crystalline LiScCuPt at its relaxed geometry (PBE, Alexandria via LeMat-Bulk).

As for the uncorrected energy: -5.192 eV per atom.

The space group is F-43m (No. 216) and the conventional cell measures 6.313, 6.313 and 6.313 Å, with angles of 90.00, 90.00 and 90.00 degrees. Symmetry generates all atoms from Li at (0.000, 0.000, 0.000), Sc at (0.000, 0.000, 0.500), Cu at (0.250, 0.250, 0.750) and Pt at (0.250, 0.250, 0.250).